This record from the Alexandria database describes crystalline LaPrMo2O8 at its relaxed geometry. The functional is PBE with a Hubbard U.

a = 6.964 Å, b = 6.964 Å, c = 6.964 Å
α = 134.10°, β = 134.10°, γ = 66.94°
Sites, in units of the cell vectors:
La (0.000, 0.000, 0.000)
Pr (0.750, 0.250, 0.500)
Mo (0.250, 0.750, 0.500)
Mo (0.500, 0.500, 0.000)
O (0.080, 0.668, 0.070)
O (0.185, 0.255, 0.610)
O (0.332, 0.402, 0.412)
O (0.425, 0.815, 0.070)
O (0.598, 0.011, 0.930)
O (0.645, 0.575, 0.390)
O (0.745, 0.355, 0.930)
O (0.989, 0.920, 0.588)

SG: I-4, No. 82
E, eV/atom: -7.72
Total magnetization, μB/atom: 0.167
Density, g/cm³: 5.81